--- one ---
A crystal of Li2V2F7 relaxed with PBEsol, computed with SCAN.

```
data_Li2V2F7
_chemical_formula_sum 'Li8 V8 F28'
_symmetry_space_group_name_H-M 'P 1 21/c 1'
_symmetry_Int_Tables_number 14
_cell_length_a 7.519
_cell_length_b 7.058
_cell_length_c 10.084
_cell_angle_alpha 90.00
_cell_angle_beta 90.45
_cell_angle_gamma 90.00
loop_
_symmetry_equiv_pos_as_xyz
'x,y,z'
'-x,-y,-z'
'-x,y+1/2,-z+1/2'
'x,-y+1/2,z+1/2'
loop_
_atom_site_label
_atom_site_type_symbol
_atom_site_fract_x
_atom_site_fract_y
_atom_site_fract_z
Li1 Li 0.158 0.137 0.139
Li2 Li 0.341 0.138 0.360
V1 V 0.115 0.633 0.084
V2 V 0.386 0.633 0.416
F1 F 0.050 0.144 0.574
F2 F 0.101 0.172 0.315
F3 F 0.177 0.594 0.543
F4 F 0.251 0.617 0.250
F5 F 0.323 0.594 0.957
F6 F 0.398 0.172 0.185
F7 F 0.450 0.145 0.926
```

--- two ---
A crystal of Li2V2F7 relaxed with PBEsol, computed with SCAN.

```
data_Li2V2F7
_chemical_formula_sum 'Li4 V4 F14'
_symmetry_space_group_name_H-M 'P -1'
_symmetry_Int_Tables_number 2
_cell_length_a 5.195
_cell_length_b 6.720
_cell_length_c 8.544
_cell_angle_alpha 71.35
_cell_angle_beta 74.79
_cell_angle_gamma 85.07
loop_
_symmetry_equiv_pos_as_xyz
'x,y,z'
'-x,-y,-z'
loop_
_atom_site_label
_atom_site_type_symbol
_atom_site_fract_x
_atom_site_fract_y
_atom_site_fract_z
Li1 Li 0.123 0.033 0.247
Li2 Li 0.335 0.763 0.908
V1 V 0.191 0.491 0.328
V2 V 0.297 0.287 0.809
F1 F 0.075 0.219 0.366
F2 F 0.081 0.621 0.109
F3 F 0.178 0.016 0.818
F4 F 0.189 0.414 0.580
F5 F 0.325 0.780 0.293
F6 F 0.358 0.190 0.038
F7 F 0.434 0.573 0.780
```

Of them, two has the lowest stability.

--- one ---
A crystal of MgMoF2 relaxed with PBEsol, computed with SCAN.

```
data_MgMoF2
_chemical_formula_sum 'Mg4 Mo4 F8'
_symmetry_space_group_name_H-M 'F m -3 m'
_symmetry_Int_Tables_number 225
_symmetry_space_group_name_Hall '-F 4 2 3'
_cell_length_a 6.094
_cell_length_b 6.094
_cell_length_c 6.094
_cell_angle_alpha 90.00
_cell_angle_beta 90.00
_cell_angle_gamma 90.00
loop_
_atom_site_label
_atom_site_type_symbol
_atom_site_fract_x
_atom_site_fract_y
_atom_site_fract_z
Mg1 Mg 0.000 0.000 0.000
Mo1 Mo 0.000 0.000 0.500
F1 F 0.250 0.250 0.250
```

--- two ---
A crystal of MgMoF2 relaxed with PBEsol, computed with SCAN.

```
data_MgMoF2
_chemical_formula_sum 'Mg3 Mo3 F6'
_symmetry_space_group_name_H-M 'R -3 m'
_symmetry_Int_Tables_number 166
_symmetry_space_group_name_Hall '-R 3 2"'
_cell_length_a 2.7820
_cell_length_b 2.7820
_cell_length_c 27.6399
_cell_angle_alpha 90.00
_cell_angle_beta 90.00
_cell_angle_gamma 120.00
loop_
_atom_site_label
_atom_site_type_symbol
_atom_site_fract_x
_atom_site_fract_y
_atom_site_fract_z
Mg1 Mg 0.0000 0.0000 0.0000
Mo1 Mo 0.0000 0.0000 0.5000
F1 F 0.0000 0.0000 0.3714
```

Of them, one has the lowest stability.